Below is crystalline Sr2ZnSbAu6 at its relaxed geometry, with properties calculated at the PBE-GGA level.

Results
* DOS(E_F): 2.41 states/eV/f.u.
* formation energy from raw total energies: -466 meV per atom
* DFT total energy: -3.3083 eV/atom
* SG: C2/m (12)

abc: 9.421 5.555 7.243
angles: 67.47 49.24 90.01
Fractional coordinates of all 10 atoms:
1 Sr 0.276 0.744 0.513
2 Sr 0.724 0.256 0.487
3 Zn 0.500 0.500 0.000
4 Sb 0.000 0.000 0.000
5 Au 0.278 0.762 0.977
6 Au 0.722 0.739 0.024
7 Au 0.102 0.256 0.487
8 Au 0.722 0.238 0.023
9 Au 0.278 0.261 0.976
10 Au 0.898 0.744 0.513